## Sn2BiO (PBE)

Data for Sn2BiO after structural relaxation.

Properties
E_tot: -4.509 eV per atom
raw formation energy: -1.19 eV per formula unit
E above lowest polymorph: 0.000 eV per atom

Unit cell a=5.7642 b=5.7642 c=13.4829 alpha=90.00 beta=90.00 gamma=90.00
Space group I-42d (No. 122)
Symmetry-distinct sites (fractional):
Sn 0.1284 0.2500 0.1250 x8
Bi 0.0000 0.0000 0.5000 x4
O 0.0000 0.0000 0.0000 x4

---

## SnBiO3 (PBE)

Data for SnBiO3 after structural relaxation.

Properties
E_tot: -5.822 eV per atom
raw formation energy: -6.35 eV per formula unit

Unit cell a=10.5115 b=5.8014 c=10.5460 alpha=90.00 beta=104.52 gamma=90.00
Space group C2/c (No. 15)
Symmetry-distinct sites (fractional):
Sn 0.0000 0.2474 0.2500 x4
Sn 0.2500 0.2500 0.0000 x4
Bi 0.1350 0.2877 0.6176 x8
O 0.0835 0.3378 0.0646 x8
O 0.1673 0.4448 0.8207 x8
O 0.1834 0.0664 0.4177 x8